1.
ThSc2Tl PBE relaxed; theoretical density = 8.5 Mg/m³; space-group type = P4/mmm (123); DFT formation energy = -0.7 eV/f.u.; total magnetic moment = 0.00 μB per atom; V = 25.58 A^3/atom
1.0
3.5000 0.0000 0.0000
0.0000 3.5000 0.0000
0.0000 0.0000 8.3533
Sc Tl Th
2 1 1
direct
0.0000 0.0000 0.2311
0.0000 0.0000 0.7689
0.5000 0.5000 0.0000
0.5000 0.5000 0.5000

***

2.
HfNi2Ru2 PBE relaxed; theoretical density = 11.7 Mg/m³; space-group type = P4/mbm (127); DFT formation energy = -0.3 eV/f.u.; total magnetic moment = 0.00 μB per atom; V = 14.19 A^3/atom
1.0
-1.1284 -5.7380 -3.2203
5.2832 -2.7377 3.0268
-1.8705 -0.9714 2.3862
Ni Ru Hf
4 4 2
direct
0.3741 0.8741 0.0000
0.1259 0.3741 0.0000
0.8741 0.6259 0.0000
0.6259 0.1259 0.0000
0.3343 0.1657 0.5000
0.1657 0.6657 0.5000
0.8343 0.3343 0.5000
0.6657 0.8343 0.5000
0.5000 0.5000 0.0000
0.0000 0.0000 0.0000

***

3.
Sc2AuCl PBE relaxed; theoretical density = 5.0 Mg/m³; space-group type = I-42d (122); total magnetic moment = 0.00 μB per atom; V = 26.72 A^3/atom; E = -5.0217 eV/atom
1.0
-5.1697 2.3297 1.4913
-1.8569 -5.2657 1.7892
-1.3392 -0.2960 7.3458
Au Cl Sc
2 2 4
direct
0.0000 0.0000 0.0000
0.7500 0.2500 0.5000
0.2500 0.7500 0.5000
0.5000 0.5000 0.0000
0.6134 0.1250 0.2500
0.1366 0.6250 0.2500
0.3750 0.3866 0.7500
0.8750 0.8634 0.7500

***

4.
Cs3Y3TmTe8 PBE relaxed; theoretical density = 4.9 Mg/m³; space-group type = R-3m (166); total magnetic moment = 0.00 μB per atom; V = 41.57 A^3/atom; E = -4.7690 eV/atom
1.0
8.8305 0.0000 0.0000
-4.4152 7.6483 -0.0371
0.0000 -5.0582 9.2563
Te Cs Y Tm
8 3 3 1
direct
0.2292 0.9607 0.6896
0.7305 0.4611 0.6914
0.2695 0.5389 0.3086
0.2293 0.4585 0.6896
0.7708 0.0393 0.3104
0.7314 0.9607 0.6896
0.7707 0.5415 0.3104
0.2686 0.0393 0.3104
0.0000 0.0000 0.0000
0.0000 0.5000 0.0000
0.5000 0.5000 0.0000
0.0000 0.5000 0.5000
0.5000 0.5000 0.5000
0.5000 0.0000 0.5000
0.0000 0.0000 0.5000

***

5.
Ac6ZnPd2I3 PBE relaxed; theoretical density = 7.4 Mg/m³; space-group type = C2/m (12); total magnetic moment = 0.00 μB per atom; V = 37.65 A^3/atom; E = -4.2255 eV/atom
1.0
7.8543 0.0024 0.0005
-3.9232 6.8043 0.0005
-1.3107 -2.2695 8.4525
Ac Zn I Pd
6 1 3 2
direct
0.4086 0.0655 0.1962
0.5914 0.9345 0.8038
0.7218 0.7218 0.1944
0.0655 0.4086 0.1962
0.9345 0.5914 0.8038
0.2782 0.2782 0.8056
0.0000 0.0000 0.0000
0.5000 0.5000 0.5000
0.8374 0.1626 0.5000
0.1626 0.8374 0.5000
0.6672 0.3328 0.0000
0.3328 0.6672 0.0000

***

6.
RhW2Cl PBE relaxed; theoretical density = 13.4 Mg/m³; space-group type = C2/m (12); total magnetic moment = 0.00 μB per atom; V = 15.68 A^3/atom; E = -8.1048 eV/atom
1.0
4.2972 -0.0033 -0.0005
3.4011 2.6265 -0.0005
0.8135 0.2772 5.5510
Rh Cl W
1 1 2
direct
0.7500 0.7500 0.7500
0.2500 0.2500 0.2500
0.4988 0.4988 0.4943
0.0012 0.0012 0.0057

***

7.
CsCu3B PBE relaxed; theoretical density = 3.3 Mg/m³; space-group type = Pm-3m (221); DFT formation energy = 13.4 eV/f.u.; total magnetic moment = 0.00 μB per atom; V = 33.78 A^3/atom
1.0
5.5278 0.0000 0.0000
0.0000 5.5278 0.0000
0.0000 0.0000 5.5278
B Cu Cs
1 3 1
direct
0.5000 0.5000 0.5000
0.0000 0.0000 0.5000
0.5000 0.0000 0.0000
0.0000 0.5000 0.0000
0.0000 0.0000 0.0000

***

8.
ZrScP PBE relaxed; theoretical density = 4.8 Mg/m³; space-group type = Cmcm (63); DFT formation energy = -3.1 eV/f.u.; total magnetic moment = 0.00 μB per atom; V = 19.20 A^3/atom
1.0
3.5379 0.0000 0.0000
0.0000 11.8773 0.0000
0.0000 0.0000 5.4825
P Sc Zr
4 4 4
direct
0.0000 0.1346 0.7500
0.5000 0.6346 0.7500
0.5000 0.3654 0.2500
0.0000 0.8654 0.2500
0.0000 0.2045 0.2500
0.0000 0.7955 0.7500
0.5000 0.2955 0.7500
0.5000 0.7045 0.2500
0.5000 0.0000 0.0000
0.0000 0.5000 0.0000
0.0000 0.5000 0.5000
0.5000 0.0000 0.5000